La3In2Ga: relaxed, GGA-PBE.

space-group type: P-3m1 (164)
total magnetic moment: 0.000 μB/atom
calculated total energy: -4.398 eV/atom

Cell: 5.5078 5.5078 6.7737 Å, 90.00 90.00 120.00°
Positions (direct):
La  0.0000  0.0000  0.0000
La  0.3333  0.6667  0.6517
La  0.6667  0.3333  0.3483
In  0.3333  0.6667  0.1558
In  0.6667  0.3333  0.8442
Ga  0.0000  0.0000  0.5000